A plane-wave DFT calculation with PBE-GGA was carried out for crystalline Ba2HgPt2 at its relaxed geometry.

Geometry as POSCAR:
```
Ba2HgPt2
1.0
8.9853 0.0000 0.0000
0.0000 8.9853 0.0000
0.0000 0.0000 3.9253
Ba Hg Pt
4 2 4
direct
0.1515 0.3485 0.0000
0.3485 0.8485 0.0000
0.6515 0.1515 0.0000
0.8485 0.6515 0.0000
0.0000 0.0000 0.0000
0.5000 0.5000 0.0000
0.1402 0.6402 0.5000
0.3598 0.1402 0.5000
0.6402 0.8598 0.5000
0.8598 0.3598 0.5000
```

Results
VASP energy ... -3.66 eV/atom
Formation enthalpy at 0 K ... -40.3 kJ per mole of atoms
Total magnetization ... 0.00 Bohr magnetons per cell
Space-group type ... P4/mbm, No. 127

***

A plane-wave DFT calculation with PBE-GGA was carried out for crystalline KSi2Hg at its relaxed geometry.

Geometry as POSCAR:
```
KSi2Hg
1.0
3.8876 0.0000 0.0000
0.0000 4.3751 0.0000
-1.2979 0.0000 6.6200
K Si Hg
1 2 1
direct
0.0000 0.0000 0.0000
0.2620 0.5000 0.6337
0.7380 0.5000 0.3663
0.5000 0.0000 0.5000
```

Results
VASP energy ... -2.87 eV/atom
Formation energy from raw total energies ... 0.191 eV per atom
Total magnetization ... 0.00 Bohr magnetons per cell
Space-group type ... P2/m, No. 10

***

A plane-wave DFT calculation with PBE-GGA was carried out for crystalline La2Pm3Sm6Sc at its relaxed geometry.

Geometry as POSCAR:
```
La2Pm3Sm6Sc
1.0
3.1371 -5.4313 0.0000
3.1371 5.4313 0.0000
-2.1066 0.0000 11.8558
La Pm Sm Sc
2 3 6 1
direct
0.1666 0.8334 0.0000
0.8334 0.1666 0.0000
0.0000 0.0000 0.5000
0.3336 0.6664 0.5000
0.6664 0.3336 0.5000
0.0887 0.4177 0.7508
0.2530 0.2530 0.2497
0.4177 0.0887 0.7508
0.5823 0.9113 0.2492
0.7470 0.7470 0.7503
0.9113 0.5823 0.2492
0.5000 0.5000 0.0000
```

Results
VASP energy ... -4.87 eV/atom
Formation enthalpy at 0 K ... 2.7 kJ per mole of atoms
Total magnetization ... 0.00 Bohr magnetons per cell
Space-group type ... C2/m, No. 12

***

A plane-wave DFT calculation with PBE-GGA was carried out for crystalline CaY3Th2Bi6 at its relaxed geometry.

Geometry as POSCAR:
```
CaY3Th2Bi6
1.0
9.8880 -2.2759 0.0000
9.8880 2.2759 0.0000
-2.0718 0.0000 8.8533
Ca Y Th Bi
1 3 2 6
direct
0.0000 0.0000 0.0000
0.0000 0.0000 0.5000
0.3347 0.3347 0.1667
0.6653 0.6653 0.8333
0.3361 0.3361 0.6710
0.6639 0.6639 0.3290
0.1660 0.1660 0.5870
0.1684 0.1684 0.0787
0.4984 0.4984 0.2539
0.5016 0.5016 0.7461
0.8316 0.8316 0.9213
0.8340 0.8340 0.4130
```

Results
VASP energy ... -5.75 eV/atom
Formation enthalpy at 0 K ... -76.7 kJ per mole of atoms
Total magnetization ... 0.00 Bohr magnetons per cell
Space-group type ... C2/m, No. 12

***

A plane-wave DFT calculation with PBE-GGA was carried out for crystalline KLiMn2 at its relaxed geometry.

Geometry as POSCAR:
```
KLiMn2
1.0
4.7075 -1.4597 0.0000
4.7075 1.4597 0.0000
-0.5437 0.0000 7.2473
K Li Mn
1 1 2
direct
0.0000 0.0000 0.0000
0.5000 0.5000 0.5000
0.2401 0.2401 0.6451
0.7599 0.7599 0.3549
```

Results
VASP energy ... -4.57 eV/atom
Offset from the most stable computed form ... 40 kJ/mol of formula units
Formation enthalpy at 0 K ... 73.8 kJ per mole of atoms
Total magnetization ... 7.85 Bohr magnetons per cell
Space-group type ... C2/m, No. 12

***

A plane-wave DFT calculation with PBE-GGA was carried out for crystalline Tb6TlTe3 at its relaxed geometry.

Geometry as POSCAR:
```
Tb6TlTe3
1.0
12.2410 0.0000 0.0000
0.0000 4.0563 0.0000
-3.1064 0.0000 12.4336
Tb Tl Te
12 2 6
direct
0.0128 0.2500 0.3508
0.0834 0.2500 0.8876
0.2487 0.7500 0.2956
0.2872 0.7500 0.7556
0.3792 0.2500 0.5336
0.4424 0.7500 0.1170
0.5576 0.2500 0.8830
0.6208 0.7500 0.4664
0.7128 0.2500 0.2444
0.7513 0.2500 0.7044
0.9166 0.7500 0.1124
0.9872 0.7500 0.6492
0.4603 0.2500 0.3103
0.5397 0.7500 0.6897
0.1093 0.2500 0.1387
0.1707 0.7500 0.5106
0.3371 0.2500 0.9441
0.6629 0.7500 0.0559
0.8293 0.2500 0.4894
0.8907 0.7500 0.8613
```

Results
VASP energy ... -4.76 eV/atom
Formation energy from raw total energies ... -0.803 eV per atom
Total magnetization ... 0.37 Bohr magnetons per cell
Space-group type ... P2_1/m, No. 11

***

A plane-wave DFT calculation with PBE-GGA was carried out for crystalline HoSi2RuRh at its relaxed geometry.

Geometry as POSCAR:
```
HoSi2RuRh
1.0
-2.0591 2.0591 4.8686
2.0591 -2.0591 4.8686
2.0591 2.0591 -4.8686
Ho Si Ru Rh
1 2 1 1
direct
0.0000 0.0000 0.0000
0.3735 0.3735 0.0000
0.6265 0.6265 0.0000
0.2500 0.7500 0.5000
0.7500 0.2500 0.5000
```

Results
VASP energy ... -7.45 eV/atom
Formation energy from raw total energies ... -1.038 eV per atom
Total magnetization ... 0.00 Bohr magnetons per cell
Space-group type ... I-4m2, No. 119

***

A plane-wave DFT calculation with PBE-GGA was carried out for crystalline Ba3Li2Dy2Tl4 at its relaxed geometry.

Geometry as POSCAR:
```
Ba3Li2Dy2Tl4
1.0
5.3774 0.0000 0.0000
-2.6887 4.6570 0.0000
0.0000 0.0000 15.5035
Ba Li Dy Tl
3 2 2 4
direct
0.0000 0.0000 0.0000
0.0000 0.0000 0.2619
0.0000 0.0000 0.7381
0.3333 0.6667 0.1509
0.6667 0.3333 0.8491
0.3333 0.6667 0.5681
0.6667 0.3333 0.4319
0.3333 0.6667 0.3713
0.3333 0.6667 0.8596
0.6667 0.3333 0.1404
0.6667 0.3333 0.6287
```

Results
VASP energy ... -2.71 eV/atom
Formation enthalpy at 0 K ... -13.7 kJ per mole of atoms
Total magnetization ... 0.00 Bohr magnetons per cell
Space-group type ... P-3m1, No. 164